The following is a DFT calculation (GGA-PBEsol) of GePd3I after structural relaxation.

Geometry as extended XYZ:
```
5
Lattice="4.672 0.000 0.000 0.000 4.672 0.000 0.000 0.000 4.672" Properties=species:S:1:pos:R:3 pbc="T T T"
I 2.336 2.336 2.336
Ge 0.000 0.000 0.000
Pd 0.000 2.336 0.000
Pd 0.000 0.000 2.336
Pd 2.336 0.000 0.000
```

Summary:
Theoretical density (kg/m3): 8450
Space-group type: Pm-3m (221)
Formation energy without anion corrections (eV per atom): 0.2165
Calculated total energy (eV per atom): -4.700